# PBE K2ZnCu2Cl6, relaxed
# - DFT total energy: -3.204 eV per atom
# - Total magnetization: 0.000 μB per atom
data_K2ZnCu2Cl6
_chemical_formula_sum 'K4 Zn2 Cu4 Cl12'
_symmetry_space_group_name_H-M 'C 1 2/m 1'
_symmetry_Int_Tables_number 12
_symmetry_space_group_name_Hall '-C 2y'
_cell_length_a 12.513
_cell_length_b 7.089
_cell_length_c 7.249
_cell_angle_alpha 90.00
_cell_angle_beta 120.90
_cell_angle_gamma 90.00
loop_
_atom_site_label
_atom_site_type_symbol
_atom_site_fract_x
_atom_site_fract_y
_atom_site_fract_z
K1 K 0.229 0.000 0.201
Zn1 Zn 0.000 0.000 0.500
Cu1 Cu 0.058 0.500 0.221
Cl1 Cl 0.046 0.239 0.781
Cl2 Cl 0.236 0.000 0.642